This record from the Alexandria database describes a relaxed Ce4As3Cl crystal. The functional is GGA-PBE.

Output
electronic total energy	-6.4089	eV/atom
DOS at the Fermi energy	2.917	states/eV per atom

Cell lengths 8.350, 11.853, 4.211 Å; angles 90.00, 90.00, 90.00 degrees
Space group Cmmm (No. 65)
Unique sites:
Ce 0.000 0.248 0.000 x4
Ce 0.245 0.000 0.500 x4
As 0.000 0.000 0.000 x2
As 0.250 0.250 0.500 x4
Cl 0.000 0.500 0.000 x2

This record from the Alexandria database describes a relaxed VBS crystal. The functional is GGA-PBE.

Output
electronic total energy	-7.1662	eV/atom
DOS at the Fermi energy	0.480	states/eV per atom

Cell lengths 3.021, 3.181, 8.657 Å; angles 90.00, 90.11, 90.00 degrees
Space group P2_1/m (No. 11)
Unique sites:
V 0.250 0.250 0.092 x2
B 0.249 0.250 0.836 x2
S 0.252 0.750 0.302 x2

This record from the Alexandria database describes a relaxed PuPaGeSe crystal. The functional is GGA-PBE.

Output
electronic total energy	-8.7198	eV/atom
DOS at the Fermi energy	2.720	states/eV per atom

Cell lengths 7.106, 7.106, 7.106 Å; angles 90.00, 90.00, 90.00 degrees
Space group F-43m (No. 216)
Unique sites:
Pu 0.000 0.000 0.000 x4
Pa 0.000 0.000 0.500 x4
Ge 0.250 0.250 0.750 x4
Se 0.250 0.250 0.250 x4

This record from the Alexandria database describes a relaxed CuIrAuSe2 crystal. The functional is GGA-PBE.

Output
electronic total energy	-3.2693	eV/atom
DOS at the Fermi energy	0.807	states/eV per atom

Cell lengths 4.956, 4.956, 4.642 Å; angles 90.00, 90.00, 90.00 degrees
Space group P4/mmm (No. 123)
Unique sites:
Cu 0.000 0.000 0.000 x1
Ir 0.500 0.500 0.000 x1
Au 0.000 0.000 0.500 x1
Se 0.000 0.500 0.500 x2

This record from the Alexandria database describes a relaxed AlAsS2N crystal. The functional is GGA-PBE.

Output
electronic total energy	-4.5691	eV/atom
DOS at the Fermi energy	1.060	states/eV per atom

Cell lengths 4.794, 4.794, 3.556 Å; angles 90.00, 90.00, 90.00 degrees
Space group P4/mmm (No. 123)
Unique sites:
Al 0.000 0.000 0.000 x1
As 0.500 0.500 0.500 x1
S 0.000 0.500 0.000 x2
N 0.000 0.000 0.500 x1

This record from the Alexandria database describes a relaxed BaScNb2O8 crystal. The functional is GGA-PBE.

Output
electronic total energy	-8.1911	eV/atom
DOS at the Fermi energy	0.651	states/eV per atom

Cell lengths 5.4714, 5.4714, 6.9032 Å; angles 90.00, 90.00, 120.00 degrees
Space group P-3 (No. 147)
Unique sites:
Ba 0.0000 0.0000 0.0000 x1
Sc 0.0000 0.0000 0.5000 x1
Nb 0.3333 0.6667 0.3977 x2
O 0.0415 0.3552 0.6360 x6
O 0.3333 0.6667 0.1278 x2

This record from the Alexandria database describes a relaxed Cd7Cu5 crystal. The functional is GGA-PBE.

Output
electronic total energy	-1.9813	eV/atom
DOS at the Fermi energy	0.317	states/eV per atom
E_form	259	meV per atom

Cell lengths 7.938, 7.938, 7.906 Å; angles 90.00, 90.00, 90.00 degrees
Space group I4mm (No. 107)
Unique sites:
Cd 0.000 0.000 0.000 x2
Cd 0.000 0.251 0.411 x8
Cd 0.000 0.500 0.165 x4
Cu 0.000 0.000 0.661 x2
Cu 0.219 0.219 0.701 x8

This record from the Alexandria database describes a relaxed AlMoP crystal. The functional is GGA-PBE.

Output
electronic total energy	-6.7872	eV/atom
DOS at the Fermi energy	0.583	states/eV per atom
E_form	-126	meV per atom

Cell lengths 4.0577, 4.0577, 3.3086 Å; angles 90.00, 90.00, 120.00 degrees
Space group P-6m2 (No. 187)
Unique sites:
Al 0.0000 0.0000 0.0000 x1
Mo 0.6667 0.3333 0.5000 x1
P 0.3333 0.6667 0.5000 x1

This record from the Alexandria database describes a relaxed GaHRuRh2 crystal. The functional is GGA-PBE.

Output
electronic total energy	-6.2059	eV/atom
DOS at the Fermi energy	0.993	states/eV per atom

Cell lengths 3.882, 3.882, 3.945 Å; angles 90.00, 90.00, 90.00 degrees
Space group P4/mmm (No. 123)
Unique sites:
Ga 0.000 0.000 0.000 x1
H 0.500 0.500 0.500 x1
Ru 0.500 0.500 0.000 x1
Rh 0.000 0.500 0.500 x2

This record from the Alexandria database describes a relaxed ScU2Mo2C4 crystal. The functional is GGA-PBE.

Output
electronic total energy	-9.7841	eV/atom
DOS at the Fermi energy	0.888	states/eV per atom
E_form	-66	meV per atom

Cell lengths 13.825, 3.152, 5.730 Å; angles 90.00, 102.05, 90.00 degrees
Space group C2/m (No. 12)
Unique sites:
Sc 0.000 0.000 0.000 x2
U 0.127 0.000 0.535 x4
Mo 0.178 0.500 0.035 x4
C 0.046 0.500 0.744 x4
C 0.246 0.000 0.266 x4

This record from the Alexandria database describes a relaxed Cs2TaNbF6 crystal. The functional is GGA-PBE.

Output
electronic total energy	-5.5687	eV/atom
DOS at the Fermi energy	0.274	states/eV per atom

Cell lengths 9.017, 9.017, 9.017 Å; angles 90.00, 90.00, 90.00 degrees
Space group Fm-3m (No. 225)
Unique sites:
Cs 0.250 0.250 0.250 x8
Ta 0.000 0.000 0.000 x4
Nb 0.000 0.000 0.500 x4
F 0.000 0.000 0.249 x24

This record from the Alexandria database describes a relaxed ReW2Cl crystal. The functional is GGA-PBE.

Output
electronic total energy	-9.2818	eV/atom
DOS at the Fermi energy	0.526	states/eV per atom

Cell lengths 2.991, 3.995, 7.117 Å; angles 90.00, 90.00, 90.00 degrees
Space group Pmm2 (No. 25)
Unique sites:
Re 0.000 0.000 0.000 x1
W 0.000 0.000 0.325 x1
W 0.500 0.500 0.149 x1
Cl 0.500 0.500 0.790 x1

This record from the Alexandria database describes a relaxed K2LaYS4 crystal. The functional is GGA-PBE.

Output
electronic total energy	-5.6607	eV/atom
DOS at the Fermi energy	0.000	states/eV per atom

Cell lengths 7.234, 4.176, 7.760 Å; angles 90.00, 108.03, 90.00 degrees
Space group P2/m (No. 10)
Unique sites:
K 0.000 0.000 0.000 x1
K 0.500 0.500 0.000 x1
La 0.000 0.500 0.500 x1
Y 0.500 0.000 0.500 x1
S 0.246 0.000 0.707 x2
S 0.275 0.500 0.297 x2

This record from the Alexandria database describes a relaxed Pm8DyY2 crystal. The functional is GGA-PBE.

Output
electronic total energy	-4.8873	eV/atom
DOS at the Fermi energy	1.651	states/eV per atom
E_form	161	meV per atom

Cell lengths 16.816, 6.792, 6.719 Å; angles 90.00, 100.07, 90.00 degrees
Space group C2/m (No. 12)
Unique sites:
Pm 0.087 0.239 0.403 x8
Pm 0.092 0.000 0.909 x4
Pm 0.246 0.500 0.322 x4
Dy 0.000 0.500 0.000 x2
Y 0.198 0.500 0.809 x4

This record from the Alexandria database describes a relaxed DyTa2Ir2 crystal. The functional is GGA-PBE.

Output
electronic total energy	-9.8269	eV/atom
DOS at the Fermi energy	0.604	states/eV per atom
E_form	-621	meV per atom

Cell lengths 4.427, 4.427, 10.541 Å; angles 90.00, 90.00, 90.00 degrees
Space group I4/mmm (No. 139)
Unique sites:
Dy 0.000 0.000 0.000 x2
Ta 0.000 0.500 0.250 x4
Ir 0.000 0.000 0.376 x4

This record from the Alexandria database describes a relaxed Sr2CdSbPd6 crystal. The functional is GGA-PBE.

Output
electronic total energy	-4.4648	eV/atom
DOS at the Fermi energy	0.390	states/eV per atom

Cell lengths 5.656, 6.860, 7.081 Å; angles 80.17, 66.52, 65.71 degrees
Space group P-1 (No. 2)
Unique sites:
Sr 0.028 0.229 0.214 x2
Cd 0.500 0.500 0.000 x1
Sb 0.500 0.000 0.500 x1
Pd 0.005 0.238 0.740 x2
Pd 0.333 0.418 0.415 x2
Pd 0.481 0.762 0.261 x2

This record from the Alexandria database describes a relaxed AcGdDy2 crystal. The functional is GGA-PBE.

Output
electronic total energy	-6.8011	eV/atom
DOS at the Fermi energy	1.630	states/eV per atom
E_form	47	meV per atom

Cell lengths 5.201, 5.201, 5.142 Å; angles 90.00, 90.00, 90.00 degrees
Space group P4/mmm (No. 123)
Unique sites:
Ac 0.000 0.000 0.000 x1
Gd 0.500 0.500 0.000 x1
Dy 0.000 0.500 0.500 x2

This record from the Alexandria database describes a relaxed TlMoP2 crystal. The functional is GGA-PBE.

Output
electronic total energy	-5.1793	eV/atom
DOS at the Fermi energy	0.826	states/eV per atom
E_form	825	meV per atom

Cell lengths 3.381, 4.303, 4.813 Å; angles 90.00, 90.00, 90.00 degrees
Space group Pmmm (No. 47)
Unique sites:
Tl 0.000 0.000 0.000 x1
Mo 0.500 0.000 0.500 x1
P 0.000 0.500 0.500 x1
P 0.500 0.500 0.000 x1

This record from the Alexandria database describes a relaxed GaMoSCl2 crystal. The functional is GGA-PBE.

Output
electronic total energy	-4.6444	eV/atom
DOS at the Fermi energy	0.573	states/eV per atom

Cell lengths 5.041, 5.041, 4.625 Å; angles 90.00, 90.00, 90.00 degrees
Space group P4/mmm (No. 123)
Unique sites:
Ga 0.000 0.000 0.000 x1
Mo 0.500 0.500 0.500 x1
S 0.500 0.500 0.000 x1
Cl 0.000 0.500 0.500 x2

This record from the Alexandria database describes a relaxed AuS2IN crystal. The functional is GGA-PBE.

Output
electronic total energy	-2.7178	eV/atom
DOS at the Fermi energy	1.404	states/eV per atom

Cell lengths 5.201, 5.201, 3.913 Å; angles 90.00, 90.00, 90.00 degrees
Space group P4/mmm (No. 123)
Unique sites:
Au 0.000 0.000 0.000 x1
S 0.000 0.500 0.500 x2
I 0.500 0.500 0.500 x1
N 0.500 0.500 0.000 x1